[1]
The following is a PBE calculation of a relaxed ZnPtC2 crystal, from Alexandria.

a b c (Å): 4.705 4.705 5.813
angles (deg): 66.13 66.13 90.00
Fractional positions:
Zn  0.500  0.500  0.000
Zn  0.250  0.750  0.500
C  0.647  0.125  0.250
C  0.103  0.625  0.250
C  0.375  0.353  0.750
C  0.875  0.897  0.750
Pt  0.000  0.000  0.000
Pt  0.750  0.250  0.500

Summary:
- formation enthalpy at 0 K (eV/atom) = 1.131
- space-group type = I-42d, No. 122
- DFT total energy (eV/atom) = -5.310
- volume (Å³/f.u.) = 53



[2]
The following is a PBE calculation of a relaxed Zn3PtC crystal, from Alexandria.

a b c (Å): 4.098 4.098 4.098
angles (deg): 90.00 90.00 90.00
Fractional positions:
Zn  0.000  0.500  0.000
Zn  0.000  0.000  0.500
Zn  0.500  0.000  0.000
C  0.000  0.000  0.000
Pt  0.500  0.500  0.500

Summary:
- formation enthalpy at 0 K (eV/atom) = 0.364
- space-group type = Pm-3m, No. 221
- offset from the most stable computed form (meV per atom) = 0.0
- DFT total energy (eV/atom) = -3.454
- volume (Å³/f.u.) = 69



[3]
The following is a PBE calculation of a relaxed Zr2PtC2 crystal, from Alexandria.

a b c (Å): 7.019 7.019 2.890
angles (deg): 90.00 90.00 90.00
Fractional positions:
C  0.149  0.649  0.500
C  0.649  0.851  0.500
C  0.851  0.351  0.500
C  0.351  0.149  0.500
Zr  0.348  0.848  0.000
Zr  0.848  0.652  0.000
Zr  0.652  0.152  0.000
Zr  0.152  0.348  0.000
Pt  0.000  0.000  0.000
Pt  0.500  0.500  0.000

Summary:
- formation enthalpy at 0 K (eV/atom) = 0.447
- space-group type = P4/mbm, No. 127
- offset from the most stable computed form (meV per atom) = 290.2
- DFT total energy (eV/atom) = -7.870
- volume (Å³/f.u.) = 71



[4]
The following is a PBE calculation of a relaxed Zr4PtC2 crystal, from Alexandria.

a b c (Å): 3.398 5.930 12.078
angles (deg): 90.00 90.00 106.65
Fractional positions:
Zr  0.766  0.533  0.107
Zr  0.766  0.533  0.393
Zr  0.234  0.467  0.893
Zr  0.234  0.467  0.607
Zr  0.928  0.855  0.750
Zr  0.072  0.145  0.250
Zr  0.500  0.000  0.000
Zr  0.500  0.000  0.500
Pt  0.609  0.218  0.750
Pt  0.391  0.782  0.250
C  0.135  0.271  0.441
C  0.865  0.729  0.941
C  0.135  0.271  0.059
C  0.865  0.729  0.559

Summary:
- formation enthalpy at 0 K (eV/atom) = -0.808
- space-group type = Cmcm, No. 63
- DFT total energy (eV/atom) = -9.191
- volume (Å³/f.u.) = 117